In2SiAs: PBEsol geometry, meta-GGA SCAN.

Cell lengths 4.911, 4.911, 4.911 Å; angles 60.00, 60.00, 60.00 degrees
Element x y z (fractional)
In  0.250  0.250  0.250
In  0.750  0.750  0.750
Si  0.000  0.000  0.000
As  0.500  0.500  0.500

Output
Its crystal system is cubic. Its energy relative to the elements, uncorrected is 0.47 eV per atom. The value obtained for the density of states at the Fermi level is 2.5 states/eV per cell. The calculated volume comes out at 83.7 Å³/f.u. Its total DFT energy (no corrections) is -23.78 eV/atom.